[1]
Here is Ca4Mg4P4O17F3 at its PBEsol-relaxed geometry from Alexandria. Energies are from SCAN.

Electronic total energy ... -9.919 eV per atom
Magnetic moment ... 1.189 Bohr magnetons per cell

Cell lengths 6.477, 7.848, 7.848 Å; angles 112.15, 94.64, 85.36 degrees
Site moments in Bohr magnetons follow the coordinates.
Fractional coordinates of all 32 atoms:
O (0.591, 0.632, 0.473)  0.01
O (0.897, 0.978, 0.128)  0.06
O (0.331, 0.025, 0.364)  0.02
O (0.669, 0.364, 0.025)  0.02
O (0.500, 0.036, 0.036)  0.70
O (0.331, 0.406, 0.285)  0.00
O (0.669, 0.285, 0.406)  0.00
O (0.833, 0.906, 0.782)  0.02
O (0.840, 0.531, 0.869)  0.01
O (0.167, 0.782, 0.906)  0.02
O (0.582, 0.710, 0.105)  0.01
O (0.160, 0.869, 0.531)  0.01
O (0.103, 0.128, 0.978)  0.06
O (0.409, 0.473, 0.632)  0.01
O (0.075, 0.216, 0.596)  0.00
O (0.925, 0.596, 0.216)  0.00
O (0.418, 0.105, 0.710)  0.01
F (0.252, 0.460, 0.960)  0.00
F (0.000, 0.540, 0.540)  0.00
F (0.748, 0.960, 0.460)  0.00
Ca (0.739, 0.222, 0.703)  0.00
Ca (0.000, 0.287, 0.287)  0.00
Ca (0.261, 0.703, 0.222)  0.00
Ca (0.500, 0.785, 0.785)  -0.01
Mg (0.124, 0.501, 0.751)  0.00
Mg (0.618, 0.997, 0.252)  0.00
Mg (0.876, 0.751, 0.501)  0.00
Mg (0.382, 0.252, 0.997)  0.00
P (0.000, 0.944, 0.944)  0.00
P (0.500, 0.446, 0.446)  0.00
P (0.755, 0.553, 0.057)  0.00
P (0.245, 0.057, 0.553)  0.00

***

[2]
Here is BaLi2Mg2 at its PBEsol-relaxed geometry from Alexandria. Energies are from SCAN.

Energy of formation ... 0.079 eV per atom
Electronic total energy ... -10.776 eV per atom
Energy above the most stable polymorph in this dataset ... 0.25 eV per formula unit
Magnetic moment ... 0.001 Bohr magnetons per cell

Cell lengths 3.364, 8.966, 8.966 Å; angles 90.00, 90.00, 90.00 degrees
Fractional coordinates of all 10 atoms:
Li (0.500, 0.830, 0.330)
Li (0.500, 0.330, 0.170)
Li (0.500, 0.170, 0.670)
Li (0.500, 0.670, 0.830)
Ba (0.000, 0.500, 0.500)
Ba (0.000, 0.000, 0.000)
Mg (0.000, 0.121, 0.379)
Mg (0.000, 0.879, 0.621)
Mg (0.000, 0.621, 0.121)
Mg (0.000, 0.379, 0.879)

***

[3]
Here is RePtCl2 at its PBEsol-relaxed geometry from Alexandria. Energies are from SCAN.

Electronic total energy ... -38.273 eV per atom
Energy above the most stable polymorph in this dataset ... 0.41 eV per formula unit
Magnetic moment ... 0.988 Bohr magnetons per cell

Cell lengths 4.469, 4.469, 4.469 Å; angles 60.00, 60.00, 60.00 degrees
Site moments in Bohr magnetons follow the coordinates.
Fractional coordinates of all 4 atoms:
Pt (0.500, 0.500, 0.500)  0.00
Re (0.750, 0.750, 0.750)  0.74
Cl (0.250, 0.250, 0.250)  0.10
Cl (0.000, 0.000, 0.000)  -0.01

***

[4]
Here is LaInRh2 at its PBEsol-relaxed geometry from Alexandria. Energies are from SCAN.

Energy of formation ... -0.506 eV per atom
Electronic total energy ... -36.515 eV per atom
Magnetic moment ... 0.000 Bohr magnetons per cell

Cell lengths 3.414, 3.414, 6.536 Å; angles 90.00, 90.00, 90.00 degrees
Fractional coordinates of all 4 atoms:
In (0.500, 0.500, 0.000)
La (0.500, 0.500, 0.500)
Rh (0.000, 0.000, 0.221)
Rh (0.000, 0.000, 0.779)

***

[5]
Here is SrAs2IrBr at its PBEsol-relaxed geometry from Alexandria. Energies are from SCAN.

Electronic total energy ... -29.133 eV per atom
Magnetic moment ... 1.435 Bohr magnetons per cell

Cell lengths 5.375, 5.533, 5.533 Å; angles 90.00, 90.00, 90.00 degrees
Site moments in Bohr magnetons follow the coordinates.
Fractional coordinates of all 5 atoms:
As (0.000, 0.500, 0.000)  -0.27
As (0.000, 0.000, 0.500)  -0.27
Ir (0.500, 0.500, 0.500)  2.46
Br (0.500, 0.000, 0.000)  -0.06
Sr (0.000, 0.000, 0.000)  0.00

***

[6]
Here is Ca2MgTa at its PBEsol-relaxed geometry from Alexandria. Energies are from SCAN.

Energy of formation ... 0.697 eV per atom
Electronic total energy ... -22.024 eV per atom
Magnetic moment ... 0.010 Bohr magnetons per cell

Cell lengths 3.072, 5.703, 6.021 Å; angles 97.70, 90.00, 105.63 degrees
Fractional coordinates of all 4 atoms:
Mg (0.000, 0.000, 0.500)
Ca (0.244, 0.487, 0.236)
Ca (0.756, 0.513, 0.764)
Ta (0.500, 0.000, 0.000)

***

[7]
Here is HfSiHgW2 at its PBEsol-relaxed geometry from Alexandria. Energies are from SCAN.

Electronic total energy ... -54.989 eV per atom
Magnetic moment ... 0.000 Bohr magnetons per cell

Cell lengths 4.482, 4.482, 4.805 Å; angles 90.00, 90.00, 90.00 degrees
Fractional coordinates of all 5 atoms:
Hf (0.000, 0.000, 0.500)
W (0.000, 0.500, 0.000)
W (0.500, 0.000, 0.000)
Hg (0.500, 0.500, 0.500)
Si (0.000, 0.000, 0.000)

***

[8]
Here is Co4MoW at its PBEsol-relaxed geometry from Alexandria. Energies are from SCAN.

Energy of formation ... 0.140 eV per atom
Electronic total energy ... -28.825 eV per atom
Magnetic moment ... 6.861 Bohr magnetons per cell

Cell lengths 4.612, 4.612, 4.612 Å; angles 60.00, 60.00, 60.00 degrees
Site moments in Bohr magnetons follow the coordinates.
Fractional coordinates of all 6 atoms:
Co (0.375, 0.375, 0.375)  1.62
Co (0.375, 0.875, 0.375)  1.62
Co (0.875, 0.375, 0.375)  1.62
Co (0.375, 0.375, 0.875)  1.62
Mo (0.750, 0.750, 0.750)  0.27
W (0.000, 0.000, 0.000)  0.05